(1)
{"formula": "NaCoCuC", "functional": "GGA-PBE", "state": "optimized geometry", "lattice_angstrom": [[2.6265, 0.0000, 0.0000], [0.0000, 1.3444, 6.9960], [0.0000, -1.3444, 6.9960]], "species": ["Na", "Co", "Cu", "C"], "frac_coords": [[0.0000, 0.0000, 0.0000], [0.5000, 0.6723, 0.6723], [0.5000, 0.3279, 0.3279], [0.0000, 0.2120, 0.2120]], "rho_g_cm3": 5.29, "sg": "No. 38", "relative_energy_mev_per_atom": 81.1, "dos_ef_per_ev_atom": 0.442, "formation_enthalpy_0k_ev_per_atom": 0.497}

=====

(2)
{"formula": "NaCoCuC", "functional": "GGA-PBE", "state": "optimized geometry", "lattice_angstrom": [[4.5242, -1.4161, 0.0000], [4.5242, 1.4161, 0.0000], [-0.0082, 0.0000, 5.0681]], "species": ["Na", "Co", "Cu", "C"], "frac_coords": [[0.0000, 0.0000, 0.0000], [0.5125, 0.5125, 0.4999], [0.7786, 0.7786, 0.4989], [0.1269, 0.1269, 0.4999]], "rho_g_cm3": 4.03, "sg": "No. 8", "relative_energy_mev_per_atom": 0.0, "dos_ef_per_ev_atom": 0.316, "formation_enthalpy_0k_ev_per_atom": 0.416}

=====

(3)
{"formula": "NaCoCuC", "functional": "GGA-PBE", "state": "optimized geometry", "lattice_angstrom": [[-1.5541, 1.9120, 5.2291], [1.5541, -1.9120, 5.2291], [1.5541, 1.9120, -5.2291]], "species": ["Na", "Co", "Cu", "C"], "frac_coords": [[0.0000, 0.0000, 0.0000], [0.2822, 0.2822, 0.0000], [0.7278, 0.7278, 0.0000], [0.1993, 0.6993, 0.5000]], "rho_g_cm3": 4.21, "sg": "No. 44", "relative_energy_mev_per_atom": 30.3, "dos_ef_per_ev_atom": 0.745, "formation_enthalpy_0k_ev_per_atom": 0.446}

=====

(4)
{"formula": "NaCoCuC", "functional": "GGA-PBE", "state": "optimized geometry", "lattice_angstrom": [[4.4872, -1.4229, 0.0000], [4.4872, 1.4229, 0.0000], [-1.8273, 0.0000, 4.9669]], "species": ["Na", "Co", "Cu", "C"], "frac_coords": [[0.0000, 0.0000, 0.0000], [0.6051, 0.6051, 0.5178], [0.3301, 0.3301, 0.4794], [0.9876, 0.9876, 0.5007]], "rho_g_cm3": 4.12, "sg": "No. 8", "relative_energy_mev_per_atom": 15.1, "dos_ef_per_ev_atom": 0.450, "formation_enthalpy_0k_ev_per_atom": 0.431}

=====

(5)
{"formula": "NaCoCuC", "functional": "GGA-PBE", "state": "optimized geometry", "lattice_angstrom": [[2.9561, 0.0000, 0.0000], [-1.4590, 2.6380, 0.0000], [-1.4664, -0.8890, 7.0388]], "species": ["Na", "Co", "Cu", "C"], "frac_coords": [[0.0000, 0.0000, 0.0000], [0.9200, 0.4875, 0.3622], [0.4306, 0.2424, 0.6327], [0.6451, 0.8574, 0.4472]], "rho_g_cm3": 4.76, "sg": "No. 1", "relative_energy_mev_per_atom": 56.4, "dos_ef_per_ev_atom": 0.666, "formation_enthalpy_0k_ev_per_atom": 0.472}

=====

(6)
{"formula": "NaCoCuC", "functional": "GGA-PBE", "state": "optimized geometry", "lattice_angstrom": [[4.3132, -2.1745, 0.0000], [4.3132, 2.1745, 0.0000], [-0.3315, 0.0000, 2.7904]], "species": ["Na", "Co", "Cu", "C"], "frac_coords": [[0.0000, 0.0000, 0.0000], [0.3142, 0.3142, 0.8885], [0.6702, 0.6702, 0.5063], [0.4378, 0.4378, 0.4384]], "rho_g_cm3": 5.00, "sg": "No. 8", "relative_energy_mev_per_atom": 151.2, "dos_ef_per_ev_atom": 0.404, "formation_enthalpy_0k_ev_per_atom": 0.567}

=====

(7)
{"formula": "CoCuNi2C", "functional": "GGA-PBE", "state": "optimized geometry", "lattice_angstrom": [[3.7489, 0.0000, 0.0000], [0.0000, 3.7489, 0.0000], [0.0000, 0.0000, 3.6898]], "species": ["Co", "Cu", "Ni", "Ni", "C"], "frac_coords": [[0.0000, 0.0000, 0.0000], [0.5000, 0.5000, 0.0000], [0.0000, 0.5000, 0.5000], [0.5000, 0.0000, 0.5000], [0.0000, 0.0000, 0.5000]], "rho_g_cm3": 8.07, "sg": "No. 123", "dos_ef_per_ev_atom": 0.834, "formation_enthalpy_0k_ev_per_atom": 0.121}

=====

(8)
{"formula": "Co2CuNiC", "functional": "GGA-PBE", "state": "optimized geometry", "lattice_angstrom": [[3.7107, 0.0000, 0.0000], [0.0000, 3.7107, 0.0000], [0.0000, 0.0000, 3.7593]], "species": ["Co", "Co", "Cu", "Ni", "C"], "frac_coords": [[0.0000, 0.5000, 0.0000], [0.5000, 0.0000, 0.0000], [0.0000, 0.0000, 0.5000], [0.5000, 0.5000, 0.5000], [0.5000, 0.5000, 0.0000]], "rho_g_cm3": 8.09, "sg": "No. 123", "dos_ef_per_ev_atom": 1.052, "formation_enthalpy_0k_ev_per_atom": 0.157}